Entry 1:
Entry from the Alexandria database: a relaxed SmNp2MoN4 crystal (PBE).

Cell lengths 3.343, 11.812, 11.526 Å; angles 90.00, 90.00, 90.00 degrees
Space group Cmcm (No. 63)
Inequivalent atoms, fractional coordinates:
Sm: 0.000 0.116 0.250 x4
Np: 0.000 0.369 0.048 x8
Mo: 0.000 0.147 0.750 x4
N: 0.000 0.000 0.000 x4
N: 0.000 0.270 0.618 x8
N: 0.000 0.464 0.250 x4

Results
Formation energy without anion corrections = -944 meV/atom
Calculated volume = 14.22 A^3/atom
Magnetic moment = 4.99 μB/f.u.

---

Entry 2:
Entry from the Alexandria database: a relaxed Tl6SnPb3 crystal (PBE).

Cell lengths 6.2205, 6.2205, 9.6877 Å; angles 90.00, 90.00, 120.00 degrees
Space group P-31m (No. 162)
Inequivalent atoms, fractional coordinates:
Tl: 0.0000 0.3820 0.2977 x6
Sn: 0.0000 0.0000 0.5000 x1
Pb: 0.0000 0.0000 0.0000 x1
Pb: 0.3333 0.6667 0.0000 x2

Results
Calculated volume = 32.46 A^3/atom
Magnetic moment = 0.00 μB/f.u.
Polymorph energy (0 for the lowest one) = 4.2 kJ per mole of atoms
Energy relative to the elements = 72 meV/atom